a) First-principles (PBE) data for a relaxed structure of GaCuAs2Se, as listed in Alexandria via LeMat-Bulk.

Cell: 4.7074 4.7074 5.0655 Å, 90.00 90.00 90.00°
With the nearest neighbours (Å) after each atom.
Positions (direct):
As  0.0000  0.5000  0.0000  2 Cu 2.35
As  0.5000  0.0000  0.0000  2 Cu 2.35
Cu  0.0000  0.0000  0.0000  4 As 2.35, 2 Se 2.53
Ga  0.5000  0.5000  0.5000  4 Se 3.33, 8 As 3.46
Se  0.0000  0.0000  0.5000  2 Cu 2.53

Space group: No. 123
D(E_F), states/eV per atom: 0.812



b) First-principles (PBE) data for a relaxed structure of GaCuAs2Se, as listed in Alexandria via LeMat-Bulk.

Cell: 4.8706 4.8706 5.0186 Å, 90.00 90.00 90.00°
With the nearest neighbours (Å) after each atom.
Positions (direct):
Ga  0.0000  0.0000  0.0000  4 As 2.44, 2 Se 2.51
As  0.5000  0.0000  0.0000  2 Ga 2.44
As  0.0000  0.5000  0.0000  2 Ga 2.44
Se  0.0000  0.0000  0.5000  2 Ga 2.51
Cu  0.5000  0.5000  0.5000  4 Se 3.44, 8 As 3.50

Space group: No. 123
D(E_F), states/eV per atom: 0.929



The relative energies come out as a) 0; b) 378, with values in meV per atom.



a) First-principles (PBE) data for a relaxed structure of Gd2CuAs, as listed in Alexandria via LeMat-Bulk.

Cell: 3.7240 4.8904 4.8904 Å, 90.00 90.00 90.00°
With the nearest neighbours (Å) after each atom.
Positions (direct):
Gd  0.0000  0.0000  0.5000  4 As 3.07, 4 Cu 3.07
Gd  0.0000  0.5000  0.0000  4 As 3.07, 4 Cu 3.07
As  0.5000  0.5000  0.5000  8 Gd 3.07
Cu  0.5000  0.0000  0.0000  8 Gd 3.07

Space group: No. 123
D(E_F), states/eV per atom: 0.610



b) First-principles (PBE) data for a relaxed structure of Gd2CuAs, as listed in Alexandria via LeMat-Bulk.

Cell: 4.0779 4.0779 7.3356 Å, 73.86 73.86 60.00°
With the nearest neighbours (Å) after each atom.
Positions (direct):
Cu  0.5000  0.5000  0.5000  6 Gd 2.95
As  0.0000  0.0000  0.0000  6 Gd 2.90
Gd  0.2522  0.2522  0.2434  3 As 2.90, 3 Cu 2.95
Gd  0.7478  0.7478  0.7566  3 As 2.90, 3 Cu 2.95

Space group: No. 166
D(E_F), states/eV per atom: 0.964



The relative energies come out as a) 24; b) 0, with values in meV per atom.



a) First-principles (PBE) data for a relaxed structure of Cu2Ge2As, as listed in Alexandria via LeMat-Bulk.

Cell: 7.7116 7.7116 2.7441 Å, 90.00 90.00 90.00°
With the nearest neighbours (Å) after each atom.
Positions (direct):
Ge  0.6848  0.1848  0.0000  6 Cu 2.60-2.73, 2 Ge 2.74, 2 As 2.82
Ge  0.3152  0.8152  0.0000  6 Cu 2.60-2.73, 2 Ge 2.74, 2 As 2.82
Ge  0.8152  0.6848  0.0000  6 Cu 2.60-2.73, 2 Ge 2.74, 2 As 2.82
Ge  0.1848  0.3152  0.0000  6 Cu 2.60-2.73, 2 Ge 2.74, 2 As 2.82
Cu  0.3875  0.1125  0.5000  3 Cu 2.45-2.74, 6 Ge 2.60-2.73
Cu  0.6125  0.8875  0.5000  3 Cu 2.45-2.74, 6 Ge 2.60-2.73
Cu  0.8875  0.3875  0.5000  3 Cu 2.45-2.74, 6 Ge 2.60-2.73
Cu  0.1125  0.6125  0.5000  3 Cu 2.45-2.74, 6 Ge 2.60-2.73
As  0.0000  0.0000  0.0000  2 As 2.74, 4 Ge 2.82
As  0.5000  0.5000  0.0000  2 As 2.74, 4 Ge 2.82

Space group: No. 127
D(E_F), states/eV per atom: 0.343



b) First-principles (PBE) data for a relaxed structure of Cu2Ge2As, as listed in Alexandria via LeMat-Bulk.

Cell: 3.9014 3.9014 6.1854 Å, 71.62 71.62 90.00°
With the nearest neighbours (Å) after each atom.
Positions (direct):
Ge  0.6106  0.6106  0.7788  1 Ge 2.45, 4 Cu 2.49
Ge  0.3894  0.3894  0.2212  1 Ge 2.45, 4 Cu 2.49
As  0.0000  0.0000  0.0000  8 Ge 3.02
Cu  0.7500  0.2500  0.5000  4 Ge 2.49, 4 Cu 2.76
Cu  0.2500  0.7500  0.5000  4 Ge 2.49, 4 Cu 2.76

Space group: No. 139
D(E_F), states/eV per atom: 0.413



The relative energies come out as a) 0; b) 71, with values in meV per atom.



a) First-principles (PBE) data for a relaxed structure of CuGeAs2Se, as listed in Alexandria via LeMat-Bulk.

Cell: 4.9408 4.9408 4.9597 Å, 90.00 90.00 90.00°
With the nearest neighbours (Å) after each atom.
Positions (direct):
Ge  0.0000  0.0000  0.0000  4 As 2.47, 2 Se 2.48
Cu  0.5000  0.5000  0.5000  4 Se 3.49, 8 As 3.50
Se  0.0000  0.0000  0.5000  2 Ge 2.48
As  0.5000  0.0000  0.0000  2 Ge 2.47
As  0.0000  0.5000  0.0000  2 Ge 2.47

Space group: No. 123
D(E_F), states/eV per atom: 0.883



b) First-principles (PBE) data for a relaxed structure of CuGeAs2Se, as listed in Alexandria via LeMat-Bulk.

Cell: 4.6392 4.6392 5.0450 Å, 90.00 90.00 90.00°
With the nearest neighbours (Å) after each atom.
Positions (direct):
As  0.0000  0.5000  0.0000  2 Cu 2.32
As  0.5000  0.0000  0.0000  2 Cu 2.32
Cu  0.0000  0.0000  0.0000  4 As 2.32, 2 Se 2.52
Ge  0.5000  0.5000  0.5000  4 Se 3.28, 8 As 3.43
Se  0.0000  0.0000  0.5000  2 Cu 2.52

Space group: No. 123
D(E_F), states/eV per atom: 0.890



The relative energies come out as a) 353; b) 0, with values in meV per atom.



a) First-principles (PBE) data for a relaxed structure of CuGeAsSe2, as listed in Alexandria via LeMat-Bulk.

Cell: 4.9201 4.9201 4.5358 Å, 90.00 90.00 90.00°
With the nearest neighbours (Å) after each atom.
Positions (direct):
As  0.0000  0.0000  0.5000  2 Cu 2.27
Ge  0.5000  0.5000  0.5000  8 Se 3.35, 4 As 3.48
Se  0.5000  0.0000  0.0000  2 Cu 2.46
Se  0.0000  0.5000  0.0000  2 Cu 2.46
Cu  0.0000  0.0000  0.0000  2 As 2.27, 4 Se 2.46

Space group: No. 123
D(E_F), states/eV per atom: 0.851



b) First-principles (PBE) data for a relaxed structure of CuGeAsSe2, as listed in Alexandria via LeMat-Bulk.

Cell: 4.9960 4.9960 4.9308 Å, 90.00 90.00 90.00°
With the nearest neighbours (Å) after each atom.
Positions (direct):
As  0.0000  0.0000  0.5000  2 Ge 2.47
Cu  0.5000  0.5000  0.5000  8 Se 3.51, 4 As 3.53
Se  0.0000  0.5000  0.0000  2 Ge 2.50
Se  0.5000  0.0000  0.0000  2 Ge 2.50
Ge  0.0000  0.0000  0.0000  2 As 2.47, 4 Se 2.50

Space group: No. 123
D(E_F), states/eV per atom: 0.904



The relative energies come out as a) 0; b) 329, with values in meV per atom.



a) First-principles (PBE) data for a relaxed structure of CuAs2H, as listed in Alexandria via LeMat-Bulk.

Cell: 5.9560 5.9560 5.2713 Å, 55.60 55.60 90.00°
With the nearest neighbours (Å) after each atom.
Positions (direct):
Cu  0.7500  0.2500  0.5000  4 As 2.55
Cu  0.0000  0.0000  0.0000  4 As 2.55
H  0.2500  0.7500  0.5000  4 As 2.00
H  0.5000  0.5000  0.0000  4 As 2.00
As  0.1959  0.6250  0.2500  2 H 2.00
As  0.8750  0.8041  0.7500  2 H 2.00
As  0.3750  0.4459  0.7500  2 H 2.00
As  0.5541  0.1250  0.2500  2 H 2.00

Space group: No. 122
D(E_F), states/eV per atom: 0.344



b) First-principles (PBE) data for a relaxed structure of CuAs2H, as listed in Alexandria via LeMat-Bulk.

Cell: 4.2469 4.2469 4.2469 Å, 60.00 60.00 60.00°
With the nearest neighbours (Å) after each atom.
Positions (direct):
As  0.7500  0.7500  0.7500  4 H 2.60, 4 Cu 2.60
As  0.2500  0.2500  0.2500  4 H 2.60, 4 Cu 2.60
H  0.0000  0.0000  0.0000  8 As 2.60
Cu  0.5000  0.5000  0.5000  8 As 2.60

Space group: No. 225
D(E_F), states/eV per atom: 0.325



The relative energies come out as a) 0; b) 22, with values in meV per atom.